# PBE ZnSnRh3, optimized geometry
data_ZnSnRh3
_cell_length_a 4.534
_cell_length_b 4.534
_cell_length_c 4.534
_cell_angle_alpha 90.00
_cell_angle_beta 90.00
_cell_angle_gamma 90.00
_symmetry_space_group_name_H-M 'P m -3 m'
_symmetry_Int_Tables_number 221
_symmetry_space_group_name_Hall '-P 4 2 3'
loop_
_atom_site_label
_atom_site_fract_x
_atom_site_fract_y
_atom_site_fract_z
_atom_site_occupancy
Zn1 0.000 0.000 0.000 1
Sn1 0.500 0.500 0.500 1
Rh1 0.000 0.000 0.500 1
# Relative energy among the computed polymorphs (meV/atom): 521
# D(E_F) (states/eV/atom): 0.8293
# Energy relative to the elements (kJ/mol of atoms): 56.6